Record 1
PBE-GGA Lu5Ir2, optimized geometry; theoretical density = 12.29 g/cm³; DFT formation energy = -0.74 eV/atom; electronic total energy = -6.499 eV/atom
1.0
0.000 6.350 0.000
-0.868 0.000 7.059
7.591 -3.175 -0.007
Lu Ir
10 4
direct
0.655 0.818 0.443 Lu
0.968 0.920 0.182 Lu
0.788 0.318 0.443 Lu
0.345 0.182 0.557 Lu
0.212 0.682 0.557 Lu
0.787 0.580 0.818 Lu
0.573 0.250 0.000 Lu
0.032 0.080 0.818 Lu
0.427 0.750 0.000 Lu
0.213 0.420 0.182 Lu
0.391 0.073 0.218 Ir
0.609 0.927 0.782 Ir
0.827 0.573 0.218 Ir
0.173 0.427 0.782 Ir

Record 2
PBE-GGA Li2ZrS3, optimized geometry; theoretical density = 2.86 g/cm³; distance to the lowest polymorph of the same formula = 1.29 kcal/mol of atoms; electronic total energy = -5.542 eV/atom
1.0
-0.066 8.827 8.232
1.916 -2.147 2.317
8.971 3.748 -3.946
Zr Li S
4 8 12
direct
0.998 0.250 0.664 Zr
0.498 0.250 0.836 Zr
0.502 0.750 0.164 Zr
0.002 0.750 0.336 Zr
0.238 0.250 0.067 Li
0.738 0.250 0.433 Li
0.981 0.250 0.086 Li
0.262 0.750 0.567 Li
0.481 0.250 0.414 Li
0.019 0.750 0.914 Li
0.762 0.750 0.933 Li
0.519 0.750 0.586 Li
0.129 0.750 0.735 S
0.871 0.250 0.265 S
0.379 0.750 0.947 S
0.621 0.250 0.053 S
0.602 0.750 0.376 S
0.398 0.250 0.624 S
0.371 0.250 0.235 S
0.629 0.750 0.765 S
0.879 0.750 0.553 S
0.102 0.750 0.124 S
0.121 0.250 0.447 S
0.898 0.250 0.876 S

Record 3
PBE-GGA LiTlNiPt, optimized geometry; theoretical density = 12.43 g/cm³; distance to the lowest polymorph of the same formula = 1.52 kcal/mol of atoms; electronic total energy = -4.077 eV/atom
1.0
0.000 3.144 3.144
3.144 0.000 3.144
3.144 3.144 0.000
Pt Tl Li Ni
1 1 1 1
direct
0.250 0.250 0.250 Pt
0.000 0.000 0.000 Tl
0.500 0.500 0.500 Li
0.750 0.750 0.750 Ni

Record 4
PBE-GGA HfCuHgB, optimized geometry; theoretical density = 11.82 g/cm³; distance to the lowest polymorph of the same formula = 6.80 kcal/mol of atoms; electronic total energy = -4.328 eV/atom
1.0
0.670 -4.306 1.054
-2.878 -2.119 2.706
-2.716 -3.161 -1.651
Cu B Hf Hg
1 1 1 1
direct
0.750 0.750 0.750 Cu
0.000 0.000 0.000 B
0.500 0.500 0.500 Hf
0.250 0.250 0.250 Hg

Record 5
PBE-GGA BiMo3C2, optimized geometry; theoretical density = 10.06 g/cm³; electronic total energy = -8.932 eV/atom
1.0
-1.281 -2.642 -1.286
3.173 0.442 -0.074
1.662 -9.073 16.988
Mo C Bi
6 4 2
direct
0.000 0.000 0.000 Mo
0.667 0.333 0.118 Mo
0.333 0.667 0.882 Mo
0.333 0.667 0.618 Mo
0.667 0.333 0.382 Mo
0.000 0.000 0.500 Mo
0.667 0.333 0.568 C
0.333 0.667 0.432 C
0.333 0.667 0.068 C
0.667 0.333 0.932 C
0.000 0.000 0.250 Bi
0.000 0.000 0.750 Bi

Record 6
PBE-GGA Al2ZnHg, optimized geometry; theoretical density = 7.06 g/cm³; electronic total energy = -2.033 eV/atom
1.0
0.000 3.351 3.351
3.351 0.000 3.351
3.351 3.351 0.000
Al Zn Hg
2 1 1
direct
0.250 0.250 0.250 Al
0.000 0.000 0.000 Al
0.500 0.500 0.500 Zn
0.750 0.750 0.750 Hg

Which of these has the highest theoretical density?
LiTlNiPt

Look up the electronic total energy of the second one.
-5.542 eV/atom

Please write out number 2 again, unchanged.
PBE-GGA Li2ZrS3, optimized geometry; theoretical density = 2.86 g/cm³; distance to the lowest polymorph of the same formula = 1.29 kcal/mol of atoms; electronic total energy = -5.542 eV/atom
1.0
-0.066 8.827 8.232
1.916 -2.147 2.317
8.971 3.748 -3.946
Zr Li S
4 8 12
direct
0.998 0.250 0.664 Zr
0.498 0.250 0.836 Zr
0.502 0.750 0.164 Zr
0.002 0.750 0.336 Zr
0.238 0.250 0.067 Li
0.738 0.250 0.433 Li
0.981 0.250 0.086 Li
0.262 0.750 0.567 Li
0.481 0.250 0.414 Li
0.019 0.750 0.914 Li
0.762 0.750 0.933 Li
0.519 0.750 0.586 Li
0.129 0.750 0.735 S
0.871 0.250 0.265 S
0.379 0.750 0.947 S
0.621 0.250 0.053 S
0.602 0.750 0.376 S
0.398 0.250 0.624 S
0.371 0.250 0.235 S
0.629 0.750 0.765 S
0.879 0.750 0.553 S
0.102 0.750 0.124 S
0.121 0.250 0.447 S
0.898 0.250 0.876 S